[1]
Compound: Ta2FeBi
Source: Alexandria via LeMat-Bulk
Functional: GGA-PBE
Structure: relaxed

a b c (Å): 3.923 3.923 20.064
angles (deg): 90.00 90.00 90.00
Space group I-42d (No. 122)
One atom of each set of equivalent atoms:
Ta  0.245  0.250  0.125 x8
Fe  0.000  0.000  0.000 x4
Bi  0.000  0.000  0.500 x4

Computed properties:
ΔH_f (0 K) ... 3.32 eV per formula unit

[2]
Compound: PaZnCd2
Source: Alexandria via LeMat-Bulk
Functional: GGA-PBE
Structure: relaxed

a b c (Å): 3.130 3.130 8.667
angles (deg): 90.00 90.00 90.00
Space group P4/mmm (No. 123)
One atom of each set of equivalent atoms:
Pa  0.000  0.000  0.000 x1
Zn  0.000  0.000  0.500 x1
Cd  0.500  0.500  0.287 x2

Computed properties:
Energy above the most stable polymorph in this dataset ... 0.000 eV/atom
ΔH_f (0 K) ... 0.38 eV per formula unit

[3]
Compound: LaAgP2O6
Source: Alexandria via LeMat-Bulk
Functional: GGA-PBE
Structure: relaxed

a b c (Å): 8.736 11.208 8.072
angles (deg): 90.00 119.80 90.00
Space group C2/c (No. 15)
One atom of each set of equivalent atoms:
La  0.000  0.071  0.250 x4
Ag  0.000  0.322  0.750 x4
P  0.204  0.173  0.770 x8
O  0.111  0.090  0.594 x8
O  0.172  0.235  0.242 x8
O  0.226  0.409  0.055 x8

Computed properties:
Raw total energy ... -6.9545 eV per atom